Material: Be2AsOs
Method: DFT, PBE
State: relaxed

Calculated values
SG = No. 139

Cell and atoms, written as extended XYZ:
```
4
Lattice="-1.629 2.795 -3.079 2.285 -0.359 -3.820 -1.935 -3.020 2.660" Properties=species:S:1:pos:R:3 pbc="T T T"
Be 0.656 2.436 -6.898
Be 0.328 1.218 -3.450
As 0.339 -1.080 -2.305
Os -1.618 0.496 -1.934
```

=====

Material: BeAs2Os
Method: DFT, PBE
State: relaxed

Calculated values
SG = No. 35

Cell and atoms, written as extended XYZ:
```
4
Lattice="2.832 -0.029 0.000 -1.336 2.498 0.000 0.000 0.000 9.261" Properties=species:S:1:pos:R:3 pbc="T T T"
Be 0.000 0.000 4.829
As 0.000 0.000 8.763
As 0.748 1.234 2.903
Os 0.748 1.234 6.656
```

=====

Material: BeAsOs
Method: DFT, PBE
State: relaxed

Calculated values
E above lowest polymorph = 0.3820 eV/atom
SG = No. 156

Cell and atoms, written as extended XYZ:
```
3
Lattice="4.097 0.000 0.000 -2.048 3.548 0.000 0.000 0.000 2.960" Properties=species:S:1:pos:R:3 pbc="T T T"
Be 0.000 2.365 0.979
As 0.000 0.000 2.470
Os 2.048 1.183 2.471
```

=====

Formation energy (meV/atom)
191 366 455
DOS at the Fermi energy (states/eV per atom)
0.3550 0.4110 0.4252